Dy4HoEr3Se8: optimized geometry, PBE.

Calculated values
- crystal system = trigonal
- total DFT energy (no corrections) (eV per atom) = -5.7544
- mass density (g/cm3) = 8.6

Geometry as CIF:
```
data_Dy4HoEr3Se8
_space_group_name_H-M_alt 'R -3 m'
_space_group_IT_number 166
_space_group_name_Hall '-R 3 2"'
_cell_length_a 8.1084
_cell_length_b 8.1084
_cell_length_c 19.9218
_cell_angle_alpha 90.00
_cell_angle_beta 90.00
_cell_angle_gamma 120.00
loop_
_atom_site_label
_atom_site_fract_x
_atom_site_fract_y
_atom_site_fract_z
_atom_site_occupancy
Dy1 0.0000 0.0000 0.0000 1
Dy2 0.0000 0.5000 0.0000 1
Ho1 0.0000 0.0000 0.5000 1
Er1 0.0000 0.5000 0.5000 1
Se1 0.0000 0.0000 0.2487 1
Se2 0.0008 0.5004 0.7511 1
```